(1)
Material: ReHg2F
Method: DFT, PBE-GGA
State: optimized geometry

Values from the calculation:
E above lowest polymorph = 0.0 kJ per mole of atoms
Energy = -3.16 eV/atom
Spin magnetization = 6.29 μB per cell
Formation energy without anion corrections = 0.571 eV/atom
Theoretical density = 12.88 g/cm3

Unit cell a=7.1084 b=7.1084 c=5.9028 alpha=52.98 beta=52.98 gamma=90.00
Site moments in Bohr magnetons follow the coordinates.
Element x y z (fractional)
Re (0.0000, 0.0000, 0.0000)  2.61
Re (0.7500, 0.2500, 0.5000)  2.61
F (0.5000, 0.5000, 0.0000)  0.06
Hg (0.8750, 0.8457, 0.7500)  0.02
F (0.2500, 0.7500, 0.5000)  0.06
Hg (0.1543, 0.6250, 0.2500)  0.02
Hg (0.3750, 0.4043, 0.7500)  0.02
Hg (0.5957, 0.1250, 0.2500)  0.02

---

(2)
Material: ReHg3F
Method: DFT, PBE-GGA
State: optimized geometry

Values from the calculation:
E above lowest polymorph = 0.0 kJ per mole of atoms
Energy = -2.43 eV/atom
Spin magnetization = 3.27 μB per cell
Formation energy without anion corrections = 0.613 eV/atom
Theoretical density = 8.47 g/cm3

Unit cell a=5.4089 b=5.4089 c=5.4089 alpha=90.00 beta=90.00 gamma=90.00
Site moments in Bohr magnetons follow the coordinates.
Element x y z (fractional)
Re (0.0000, 0.0000, 0.0000)  2.40
Hg (0.0000, 0.5000, 0.0000)  0.07
Hg (0.5000, 0.0000, 0.0000)  0.04
Hg (0.0000, 0.0000, 0.5000)  0.07
F (0.5000, 0.5000, 0.5000)  0.14

---

(3)
Material: ReHgF3
Method: DFT, PBE-GGA
State: optimized geometry

Values from the calculation:
E above lowest polymorph = 80.8 kJ per mole of atoms
Energy = -3.70 eV/atom
Spin magnetization = 5.93 μB per cell
Formation energy without anion corrections = -0.025 eV/atom
Theoretical density = 7.61 g/cm3

Unit cell a=4.5915 b=4.5915 c=4.5915 alpha=90.00 beta=90.00 gamma=90.00
Site moments in Bohr magnetons follow the coordinates.
Element x y z (fractional)
F (0.0000, 0.5000, 0.0000)  0.10
Re (0.5000, 0.5000, 0.5000)  4.54
F (0.0000, 0.0000, 0.5000)  0.07
F (0.5000, 0.0000, 0.0000)  0.07
Hg (0.0000, 0.0000, 0.0000)  0.00